Density functional theory data (GGA+U) for crystalline Na7Ni10O20 at its relaxed geometry.

Cell: 2.956 11.085 12.896 Å, 108.11 91.35 91.33°
Fractional coordinates of all 37 atoms:
Na  0.000  0.000  0.000
Na  0.025  0.411  0.828
Na  0.486  0.290  0.575
Na  0.490  0.123  0.236
Na  0.510  0.877  0.764
Na  0.514  0.710  0.425
Na  0.975  0.589  0.172
Ni  0.000  0.500  0.500
Ni  0.004  0.901  0.301
Ni  0.015  0.702  0.902
Ni  0.482  0.408  0.297
Ni  0.496  0.190  0.899
Ni  0.500  0.000  0.500
Ni  0.504  0.810  0.101
Ni  0.518  0.592  0.703
Ni  0.985  0.298  0.098
Ni  0.996  0.099  0.699
O  0.004  0.714  0.759
O  0.026  0.066  0.835
O  0.026  0.468  0.650
O  0.033  0.691  0.043
O  0.037  0.876  0.439
O  0.467  0.422  0.155
O  0.483  0.984  0.641
O  0.485  0.382  0.434
O  0.492  0.782  0.243
O  0.494  0.830  0.955
O  0.506  0.170  0.045
O  0.508  0.218  0.757
O  0.515  0.618  0.566
O  0.517  0.016  0.359
O  0.533  0.578  0.845
O  0.963  0.124  0.561
O  0.967  0.309  0.957
O  0.974  0.532  0.350
O  0.974  0.934  0.165
O  0.996  0.286  0.241

Output
- total moment (μB/cell) = 6.99
- mass density (g cm⁻³) = 4.4
- VASP energy (eV/cell) = -169.8